Pr3Ho2ErTe6 | PBE | optimized geometry

Summary:
crystal system	monoclinic
formation energy without anion corrections	-1.346	eV/atom
theoretical density	7.58	g/cm3
E_tot	-0.1931	Ha/atom

Structure (POSCAR):
```
Pr3Ho2ErTe6
1.0
9.752 -2.180 0.000
9.752 2.180 0.000
-2.432 0.000 8.683
Pr Ho Er Te
3 2 1 6
direct
0.000 0.000 0.000
0.333 0.333 0.667
0.667 0.667 0.333
0.333 0.333 0.166
0.667 0.667 0.834
0.000 0.000 0.500
0.162 0.162 0.592
0.170 0.170 0.074
0.496 0.496 0.260
0.504 0.504 0.740
0.830 0.830 0.926
0.838 0.838 0.408
```

---

Pr3HoEr2Te6 | PBE | optimized geometry

Summary:
crystal system	monoclinic
formation energy without anion corrections	-1.341	eV/atom
theoretical density	7.61	g/cm3
E_tot	-0.1929	Ha/atom

Structure (POSCAR):
```
Pr3HoEr2Te6
1.0
9.753 -2.176 0.000
9.753 2.176 0.000
-2.460 0.000 8.680
Pr Ho Er Te
3 1 2 6
direct
0.000 0.000 0.000
0.334 0.334 0.667
0.666 0.666 0.333
0.000 0.000 0.500
0.334 0.334 0.168
0.666 0.666 0.832
0.163 0.163 0.593
0.171 0.171 0.073
0.496 0.496 0.259
0.504 0.504 0.741
0.829 0.829 0.927
0.837 0.837 0.407
```